# 1
A relaxed Tm2MnS crystal, computed with GGA-PBE.

abc: 9.275 9.275 9.275
angles: 21.91 21.91 21.91
Atoms (fractional coordinates):
Tm (0.104, 0.104, 0.104)
Tm (0.896, 0.896, 0.896)
Mn (0.000, 0.000, 0.000)
S (0.500, 0.500, 0.500)

Its density of states at the Fermi level is 3.95 states/eV/f.u. As for the space-group type: R-3m. The total energy is -5.882 eV/atom. As for the raw formation energy: -0.32 eV per atom.



# 2
A relaxed TmMnZnS4 crystal, computed with GGA-PBE.

abc: 7.407 7.407 7.407
angles: 119.14 118.59 91.97
Atoms (fractional coordinates):
Tm (0.000, 0.000, 0.000)
Tm (0.500, 0.000, 0.500)
Mn (0.500, 0.000, 0.000)
Mn (0.500, 0.500, 0.500)
Zn (0.127, 0.377, 0.750)
Zn (0.873, 0.623, 0.250)
S (0.265, 0.742, 0.523)
S (0.266, 0.264, 0.498)
S (0.266, 0.767, 0.002)
S (0.282, 0.258, 0.023)
S (0.718, 0.742, 0.977)
S (0.734, 0.233, 0.998)
S (0.734, 0.736, 0.502)
S (0.735, 0.258, 0.477)

Its density of states at the Fermi level is 1.38 states/eV/f.u. As for the space-group type: Imma. The total energy is -5.583 eV/atom. As for the raw formation energy: -1.09 eV per atom.



# 3
A relaxed U2MnS4 crystal, computed with GGA-PBE.

abc: 5.551 5.551 7.296
angles: 115.34 115.34 38.75
Atoms (fractional coordinates):
U (0.163, 0.163, 0.198)
U (0.837, 0.837, 0.802)
Mn (0.500, 0.500, 0.500)
S (0.148, 0.148, 0.562)
S (0.427, 0.427, 0.139)
S (0.573, 0.573, 0.861)
S (0.852, 0.852, 0.438)

Its density of states at the Fermi level is 8.53 states/eV/f.u. As for the space-group type: C2/m. The total energy is -7.968 eV/atom. As for the raw formation energy: -1.07 eV per atom.



# 4
A relaxed U2MnS crystal, computed with GGA-PBE.

abc: 7.026 7.026 7.026
angles: 29.94 29.94 29.94
Atoms (fractional coordinates):
U (0.244, 0.244, 0.244)
U (0.756, 0.756, 0.756)
Mn (0.500, 0.500, 0.500)
S (0.000, 0.000, 0.000)

Its density of states at the Fermi level is 5.46 states/eV/f.u. As for the space-group type: R-3m. The total energy is -9.351 eV/atom. As for the raw formation energy: -0.38 eV per atom.



# 5
A relaxed UMnS4 crystal, computed with GGA-PBE.

abc: 7.258 7.258 7.258
angles: 121.13 111.89 96.32
Atoms (fractional coordinates):
U (0.000, 0.000, 0.000)
U (0.500, 0.000, 0.500)
Mn (0.500, 0.000, 0.000)
Mn (0.500, 0.500, 0.500)
S (0.250, 0.239, 0.489)
S (0.250, 0.761, 0.011)
S (0.279, 0.738, 0.541)
S (0.303, 0.262, 0.041)
S (0.697, 0.738, 0.959)
S (0.721, 0.262, 0.459)
S (0.750, 0.239, 0.989)
S (0.750, 0.761, 0.511)

Its density of states at the Fermi level is 5.07 states/eV/f.u. As for the space-group type: Imma. The total energy is -7.110 eV/atom. As for the raw formation energy: -0.95 eV per atom.



# 6
A relaxed UMn4S8 crystal, computed with GGA-PBE.

abc: 7.099 7.099 7.099
angles: 58.34 58.34 58.34
Atoms (fractional coordinates):
U (0.000, 0.000, 0.000)
Mn (0.000, 0.000, 0.500)
Mn (0.000, 0.500, 0.000)
Mn (0.500, 0.000, 0.000)
Mn (0.500, 0.500, 0.500)
S (0.238, 0.238, 0.238)
S (0.243, 0.740, 0.740)
S (0.260, 0.260, 0.757)
S (0.260, 0.757, 0.260)
S (0.740, 0.243, 0.740)
S (0.740, 0.740, 0.243)
S (0.757, 0.260, 0.260)
S (0.762, 0.762, 0.762)

Its density of states at the Fermi level is 7.39 states/eV/f.u. As for the space-group type: R-3m. The total energy is -6.968 eV/atom. As for the raw formation energy: -0.74 eV per atom.



# 7
A relaxed UMn2S6 crystal, computed with GGA-PBE.

abc: 7.941 7.941 7.893
angles: 111.01 111.01 25.75
Atoms (fractional coordinates):
U (0.000, 0.000, 0.000)
Mn (0.330, 0.330, 0.656)
Mn (0.670, 0.670, 0.344)
S (0.171, 0.171, 0.541)
S (0.178, 0.178, 0.144)
S (0.495, 0.495, 0.754)
S (0.505, 0.505, 0.246)
S (0.822, 0.822, 0.856)
S (0.829, 0.829, 0.459)

Its density of states at the Fermi level is 7.36 states/eV/f.u. As for the space-group type: C2/m. The total energy is -6.821 eV/atom. As for the raw formation energy: -0.78 eV per atom.



# 8
A relaxed UMn3S6 crystal, computed with GGA-PBE.

abc: 6.905 6.905 6.905
angles: 54.62 54.62 54.62
Atoms (fractional coordinates):
U (0.000, 0.000, 0.000)
Mn (0.313, 0.313, 0.313)
Mn (0.502, 0.502, 0.502)
Mn (0.811, 0.811, 0.811)
S (0.096, 0.422, 0.711)
S (0.220, 0.908, 0.585)
S (0.422, 0.711, 0.096)
S (0.585, 0.220, 0.908)
S (0.711, 0.096, 0.422)
S (0.908, 0.585, 0.220)

Its density of states at the Fermi level is 5.47 states/eV/f.u. As for the space-group type: R3. The total energy is -7.129 eV/atom. As for the raw formation energy: -0.77 eV per atom.